Entry 1:
The following is a GGA-PBE calculation of a geometry-optimized DyHo2Zn structure, from Alexandria.

```
DyHo2Zn
1.0
3.544 0.000 0.000
0.000 3.544 0.000
0.000 0.000 8.578
Dy Ho Zn
1 2 1
Direct
0.000 0.000 0.000
0.500 0.500 0.293
0.500 0.500 0.707
0.000 0.000 0.500
```

Energy above the lowest structure with this stoichiometry = 0.000 eV/f.u.
D(E_F) = 4.244 states/eV per cell
Energy relative to the elements = -0.1614 eV per atom
Magnetic moment = 0.00 μB per cell
E = -3.919 eV per atom

=====

Entry 2:
The following is a GGA-PBE calculation of a geometry-optimized Np2Si5Pt3 structure, from Alexandria.

```
Np2Si5Pt3
1.0
-4.997 5.715 3.025
4.997 -5.715 3.025
4.997 5.715 -3.025
Np Si Pt
4 10 6
Direct
0.131 0.231 0.362
0.369 0.731 0.099
0.631 0.269 0.901
0.869 0.769 0.638
0.024 0.750 0.274
0.111 0.653 0.764
0.250 0.250 0.000
0.389 0.153 0.542
0.476 0.750 0.726
0.524 0.250 0.274
0.611 0.847 0.458
0.750 0.750 0.000
0.889 0.347 0.236
0.976 0.250 0.726
0.138 0.890 0.028
0.250 0.750 0.500
0.362 0.390 0.752
0.638 0.610 0.248
0.750 0.250 0.500
0.862 0.110 0.972
```

D(E_F) = 40.759 states/eV per cell
Formation energy (no corrections) = -0.65 eV/atom
Magnetic moment = 15.92 μB per cell
E = -7.765 eV per atom

=====

Copy entry 1 word for word.
The following is a GGA-PBE calculation of a geometry-optimized DyHo2Zn structure, from Alexandria.

```
DyHo2Zn
1.0
3.544 0.000 0.000
0.000 3.544 0.000
0.000 0.000 8.578
Dy Ho Zn
1 2 1
Direct
0.000 0.000 0.000
0.500 0.500 0.293
0.500 0.500 0.707
0.000 0.000 0.500
```

Energy above the lowest structure with this stoichiometry = 0.000 eV/f.u.
D(E_F) = 4.244 states/eV per cell
Energy relative to the elements = -0.1614 eV per atom
Magnetic moment = 0.00 μB per cell
E = -3.919 eV per atom

=====

Q: What is the magnetic moment in the second record?
A: 15.92 μB per cell

=====

Q: Look up the magnetic moment of the first one.
A: 0.00 μB per cell